1.
## CoBi3F (PBE with a Hubbard U)

Data for CoBi3F after structural relaxation.

Values from the calculation:
Energy above the most stable polymorph in this dataset (eV per atom): 0.0000
DFT total energy (eV per atom): -3.543
Space group: Pm-3m (221)

Cell and atoms, written as POSCAR:
```
CoBi3F
1.0
-3.886 1.012 3.203
-3.178 -2.696 -3.004
1.090 -4.254 2.666
Bi Co F
3 1 1
Direct
0.000 0.000 0.500
0.000 0.500 0.000
0.500 0.000 0.000
0.000 0.000 0.000
0.500 0.500 0.500
```

***

2.
## CoBi3F (PBE with a Hubbard U)

Data for CoBi3F after structural relaxation.

Values from the calculation:
Energy above the most stable polymorph in this dataset (eV per atom): 0.3090
DFT total energy (eV per atom): -3.234
Space group: Pm-3m (221)

Cell and atoms, written as POSCAR:
```
CoBi3F
1.0
4.953 0.000 0.000
0.000 4.953 0.000
0.000 0.000 4.953
F Co Bi
1 1 3
Direct
0.000 0.000 0.000
0.500 0.500 0.500
0.000 0.000 0.500
0.000 0.500 0.000
0.500 0.000 0.000
```

***

3.
## Co3BiF (PBE with a Hubbard U)

Data for Co3BiF after structural relaxation.

Values from the calculation:
Energy above the most stable polymorph in this dataset (eV per atom): 1.0669
DFT total energy (eV per atom): -2.962
Space group: Pm-3m (221)

Cell and atoms, written as POSCAR:
```
Co3BiF
1.0
5.073 0.000 0.000
0.000 5.073 0.000
0.000 0.000 5.073
F Co Bi
1 3 1
Direct
0.500 0.500 0.500
0.500 0.000 0.000
0.000 0.500 0.000
0.000 0.000 0.500
0.000 0.000 0.000
```

***

4.
## Co3BiF (PBE with a Hubbard U)

Data for Co3BiF after structural relaxation.

Values from the calculation:
Energy above the most stable polymorph in this dataset (eV per atom): 0.0000
DFT total energy (eV per atom): -4.029
Space group: Pm-3m (221)

Cell and atoms, written as POSCAR:
```
Co3BiF
1.0
4.343 0.000 0.000
0.000 4.343 0.000
0.000 0.000 4.343
Co Bi F
3 1 1
Direct
0.000 0.000 0.500
0.500 0.000 0.000
0.000 0.500 0.000
0.500 0.500 0.500
0.000 0.000 0.000
```

***

5.
## CoBi2F (PBE with a Hubbard U)

Data for CoBi2F after structural relaxation.

Values from the calculation:
Energy above the most stable polymorph in this dataset (eV per atom): 0.1124
DFT total energy (eV per atom): -3.717
Space group: I-42d (122)

Cell and atoms, written as POSCAR:
```
CoBi2F
1.0
5.530 0.000 0.000
0.000 5.530 0.000
2.765 2.765 6.439
F Bi Co
2 4 2
Direct
0.500 0.500 0.000
0.250 0.750 0.500
0.875 0.904 0.750
0.654 0.125 0.250
0.096 0.625 0.250
0.375 0.346 0.750
0.750 0.250 0.500
0.000 0.000 0.000
```

***

6.
## CoBi2F (PBE with a Hubbard U)

Data for CoBi2F after structural relaxation.

Values from the calculation:
Energy above the most stable polymorph in this dataset (eV per atom): 0.0000
DFT total energy (eV per atom): -3.829
Space group: Fm-3m (225)

Cell and atoms, written as POSCAR:
```
CoBi2F
1.0
2.507 1.444 3.657
-1.861 -0.067 4.275
1.513 -3.083 3.153
Co Bi F
1 2 1
Direct
0.500 0.500 0.500
0.250 0.250 0.250
0.750 0.750 0.750
0.000 0.000 0.000
```